Entry 1:
The following is a meta-GGA SCAN calculation of a PBEsol-optimized structure of Cr3SnPd, from Alexandria via LeMat-Bulk.

Computed properties:
As for the space group: Pm-3m, No. 221. The calculation puts the formation energy at 1252 meV/atom. The crystal system is cubic. The total energy is -23.518 eV/atom. The magnetization is 12.2 μB per cell.

abc: 4.922 4.922 4.922
angles: 90.00 90.00 90.00
Sites, in units of the cell vectors:
Cr  0.000  0.500  0.000
Cr  0.000  0.000  0.500
Cr  0.500  0.000  0.000
Sn  0.000  0.000  0.000
Pd  0.500  0.500  0.500

Entry 2:
The following is a meta-GGA SCAN calculation of a PBEsol-optimized structure of Cr2SnTePd, from Alexandria via LeMat-Bulk.

Computed properties:
As for the space group: P4/mmm, No. 123. The crystal system is tetragonal. The total energy is -27.407 eV/atom. The magnetization is 8.5 μB per cell. The formation energy without anion corrections comes out at 1.1366 eV per atom.

abc: 4.961 4.961 5.597
angles: 90.00 90.00 90.00
Sites, in units of the cell vectors:
Cr  0.000  0.500  0.000
Cr  0.500  0.000  0.000
Te  0.000  0.000  0.500
Sn  0.000  0.000  0.000
Pd  0.500  0.500  0.500

Entry 3:
The following is a meta-GGA SCAN calculation of a PBEsol-optimized structure of Sr2Cr2Pd, from Alexandria via LeMat-Bulk.

Computed properties:
As for the space group: I4/mmm, No. 139. The calculation puts the formation energy at 817 meV/atom. The crystal system is tetragonal. The total energy is -22.002 eV/atom. The magnetization is 0.8 μB per cell.

abc: 5.489 5.489 5.489
angles: 76.82 67.30 112.70
Sites, in units of the cell vectors:
Sr  0.500  0.250  0.250
Sr  0.500  0.750  0.750
Pd  0.000  0.000  0.000
Cr  0.000  0.372  0.628
Cr  0.000  0.628  0.372

Entry 4:
The following is a meta-GGA SCAN calculation of a PBEsol-optimized structure of SrCrPd3, from Alexandria via LeMat-Bulk.

Computed properties:
As for the space group: Pm-3m, No. 221. The calculation puts the formation energy at 87 meV/atom. The crystal system is cubic. The total energy is -27.710 eV/atom. The magnetization is 3.7 μB per cell.

abc: 4.698 4.698 4.698
angles: 90.00 90.00 90.00
Sites, in units of the cell vectors:
Sr  0.500  0.500  0.500
Pd  0.000  0.500  0.000
Pd  0.000  0.000  0.500
Pd  0.500  0.000  0.000
Cr  0.000  0.000  0.000

Entry 5:
The following is a meta-GGA SCAN calculation of a PBEsol-optimized structure of Ta3CrPd, from Alexandria via LeMat-Bulk.

Computed properties:
As for the space group: Pm-3m, No. 221. The calculation puts the formation energy at 993 meV/atom. The crystal system is cubic. The total energy is -49.189 eV/atom. The magnetization is 0.0 μB per cell.

abc: 4.508 4.508 4.508
angles: 90.00 90.00 90.00
Sites, in units of the cell vectors:
Cr  0.000  0.000  0.000
Pd  0.500  0.500  0.500
Ta  0.000  0.500  0.000
Ta  0.000  0.000  0.500
Ta  0.500  0.000  0.000

Entry 6:
The following is a meta-GGA SCAN calculation of a PBEsol-optimized structure of Cr3TcPd, from Alexandria via LeMat-Bulk.

Computed properties:
As for the space group: Pm-3m, No. 221. The calculation puts the formation energy at 1418 meV/atom. The crystal system is cubic. The total energy is -23.180 eV/atom. The magnetization is 8.4 μB per cell.

abc: 4.600 4.600 4.600
angles: 90.00 90.00 90.00
Sites, in units of the cell vectors:
Cr  0.000  0.500  0.000
Cr  0.000  0.000  0.500
Cr  0.500  0.000  0.000
Tc  0.500  0.500  0.500
Pd  0.000  0.000  0.000

Entry 7:
The following is a meta-GGA SCAN calculation of a PBEsol-optimized structure of ZnCr3Pd, from Alexandria via LeMat-Bulk.

Computed properties:
As for the space group: Pm-3m, No. 221. The calculation puts the formation energy at 1096 meV/atom. The crystal system is cubic. The total energy is -19.192 eV/atom. The magnetization is 12.7 μB per cell.

abc: 4.527 4.527 4.527
angles: 90.00 90.00 90.00
Sites, in units of the cell vectors:
Cr  0.000  0.500  0.000
Cr  0.000  0.000  0.500
Cr  0.500  0.000  0.000
Zn  0.000  0.000  0.000
Pd  0.500  0.500  0.500

Entry 8:
The following is a meta-GGA SCAN calculation of a PBEsol-optimized structure of CrPt3, from Alexandria via LeMat-Bulk.

Computed properties:
As for the space group: Pmmm, No. 47. The calculation puts the formation energy at -284 meV/atom. The crystal system is orthorhombic. The total energy is -57.525 eV/atom. The magnetization is 2.4 μB per cell.

abc: 2.703 3.810 5.491
angles: 90.00 90.00 90.00
Sites, in units of the cell vectors:
Cr  0.000  0.000  0.000
Pt  0.500  0.500  0.762
Pt  0.000  0.000  0.500
Pt  0.500  0.500  0.238

Entry 9:
The following is a meta-GGA SCAN calculation of a PBEsol-optimized structure of CrPt, from Alexandria via LeMat-Bulk.

Computed properties:
As for the space group: Pmmn, No. 59. The calculation puts the formation energy at -43 meV/atom. The crystal system is orthorhombic. The total energy is -44.332 eV/atom. The magnetization is 0.0 μB per cell.

abc: 2.653 4.272 4.646
angles: 90.00 90.00 90.00
Sites, in units of the cell vectors:
Cr  0.000  0.000  0.588
Cr  0.500  0.500  0.412
Pt  0.000  0.500  0.895
Pt  0.500  0.000  0.105

Entry 10:
The following is a meta-GGA SCAN calculation of a PBEsol-optimized structure of CrPt3, from Alexandria via LeMat-Bulk.

Computed properties:
As for the space group: Pm-3m, No. 221. The calculation puts the formation energy at -421 meV/atom. The crystal system is cubic. The total energy is -57.662 eV/atom. The magnetization is 3.1 μB per cell.

abc: 3.857 3.857 3.857
angles: 90.00 90.00 90.00
Sites, in units of the cell vectors:
Cr  0.000  0.000  0.000
Pt  0.000  0.500  0.500
Pt  0.500  0.000  0.500
Pt  0.500  0.500  0.000

Entry 11:
The following is a meta-GGA SCAN calculation of a PBEsol-optimized structure of CrPt3, from Alexandria via LeMat-Bulk.

Computed properties:
As for the space group: P4/mmm, No. 123. The calculation puts the formation energy at -258 meV/atom. The crystal system is tetragonal. The total energy is -57.499 eV/atom. The magnetization is 1.5 μB per cell.

abc: 2.691 2.691 7.726
angles: 90.00 90.00 90.00
Sites, in units of the cell vectors:
Cr  0.000  0.000  0.000
Pt  0.000  0.000  0.500
Pt  0.500  0.500  0.229
Pt  0.500  0.500  0.771

Entry 12:
The following is a meta-GGA SCAN calculation of a PBEsol-optimized structure of CrPt, from Alexandria via LeMat-Bulk.

Computed properties:
As for the space group: R-3m, No. 166. The calculation puts the formation energy at 33 meV/atom. The crystal system is trigonal. The total energy is -44.256 eV/atom. The magnetization is 0.0 μB per cell.

abc: 4.057 4.057 4.523
angles: 63.36 63.36 60.00
Sites, in units of the cell vectors:
Cr  0.335  0.335  0.995
Cr  0.665  0.665  0.005
Pt  0.112  0.112  0.664
Pt  0.888  0.888  0.336